{
  "formula": "Rb2HCl",
  "functional": "meta-GGA SCAN",
  "state": "single point on PBEsol structure",
  "lattice_angstrom": [[-5.795, -4.000, -0.740], [4.156, 0.052, -5.731], [4.461, -2.367, 4.962]],
  "species": ["H", "H", "Rb", "Rb", "Rb", "Rb", "Cl", "Cl"],
  "frac_coords": [[0.000, 0.500, 0.500], [0.500, 0.250, 0.750], [0.960, 0.585, 0.125], [0.040, 0.165, 0.625], [0.540, 0.375, 0.415], [0.460, 0.875, 0.835], [0.000, 0.000, 0.000], [0.500, 0.750, 0.250]],
  "volume_a3_per_fu": 134.7,
  "space_group": "I-42d (122)",
  "m_tot_mub_per_fu": 0.0,
  "relative_energy_ev_per_fu": 0.137,
  "energy_ev_per_fu": -57.41
}